Model 1:
Ce2AuS | PBE | relaxed

Output
Fermi-level density of states: 31.9 states/eV/cell
total moment: 6.35 μB per cell

Unit cell a=3.9583 b=3.9583 c=23.1308 alpha=90.00 beta=90.00 gamma=120.00
Space group R3m (No. 160, hexagonal axes)
Symmetry-distinct sites (fractional):
1 Ce 0.0000 0.0000 0.0000 (multiplicity 3)
2 Ce 0.0000 0.0000 0.1605 (multiplicity 3)
3 Au 0.0000 0.0000 0.5794 (multiplicity 3)
4 S 0.0000 0.0000 0.7472 (multiplicity 3)

***

Model 2:
Ce2AuS | PBE | relaxed

Output
Fermi-level density of states: 35.3 states/eV/cell
total moment: 5.71 μB per cell

Unit cell a=4.0635 b=4.0635 c=21.5799 alpha=90.00 beta=90.00 gamma=120.00
Space group R-3m (No. 166, hexagonal axes)
Symmetry-distinct sites (fractional):
1 Ce 0.0000 0.0000 0.2422 (multiplicity 6)
2 Au 0.0000 0.0000 0.0000 (multiplicity 3)
3 S 0.0000 0.0000 0.5000 (multiplicity 3)

***

Tell me which of them is the most stable. Sure, it is model 2.